# 1
Compound: YSi3Se
Source: Alexandria via LeMat-Bulk
Functional: PBE-GGA
Structure: optimized geometry

a b c (Å): 4.8484 4.8484 4.8484
angles (deg): 90.00 90.00 90.00
Atoms (fractional coordinates):
Y1 0.0000 0.0000 0.0000
Si1 0.0000 0.5000 0.5000
Si2 0.5000 0.0000 0.5000
Si3 0.5000 0.5000 0.0000
Se1 0.5000 0.5000 0.5000

- energy above the lowest structure with this stoichiometry (meV per atom) = 0
- DOS at the Fermi energy (states/eV/f.u.) = 4.23
- formation energy (no corrections) (meV per atom) = 550
- total magnetization (Bohr magnetons per cell) = 0.00
- symmetry = Pm-3m



# 2
Compound: Tl3Cu2HgCl9
Source: Alexandria via LeMat-Bulk
Functional: PBE-GGA
Structure: optimized geometry

a b c (Å): 7.0619 7.0619 8.7452
angles (deg): 90.00 90.00 120.00
Atoms (fractional coordinates):
Tl1 0.0000 0.0000 0.0000
Tl2 0.3333 0.6667 0.6797
Tl3 0.6667 0.3333 0.3203
Cu1 0.3333 0.6667 0.1547
Cu2 0.6667 0.3333 0.8453
Hg1 0.0000 0.0000 0.5000
Cl1 0.0000 0.5000 0.0000
Cl2 0.1735 0.3469 0.3174
Cl3 0.1735 0.8265 0.3174
Cl4 0.3469 0.1735 0.6826
Cl5 0.5000 0.0000 0.0000
Cl6 0.5000 0.5000 0.0000
Cl7 0.6531 0.8265 0.3174
Cl8 0.8265 0.1735 0.6826
Cl9 0.8265 0.6531 0.6826

- DOS at the Fermi energy (states/eV/f.u.) = 3.56
- formation energy (no corrections) (meV per atom) = -693
- total magnetization (Bohr magnetons per cell) = 0.00
- symmetry = P-3m1



# 3
Compound: TbYTi
Source: Alexandria via LeMat-Bulk
Functional: PBE-GGA
Structure: optimized geometry

a b c (Å): 3.5639 3.5639 12.8485
angles (deg): 90.00 90.00 90.00
Atoms (fractional coordinates):
Tb1 0.2500 0.2500 0.0947
Tb2 0.7500 0.7500 0.9053
Y1 0.2500 0.2500 0.6982
Y2 0.7500 0.7500 0.3018
Ti1 0.2500 0.2500 0.4578
Ti2 0.7500 0.7500 0.5422

- DOS at the Fermi energy (states/eV/f.u.) = 4.97
- energy relative to the elements (kJ per mole of atoms) = 9.4
- total magnetization (Bohr magnetons per cell) = 0.00
- symmetry = P4/nmm



# 4
Compound: Ba2NaPaSe5
Source: Alexandria via LeMat-Bulk
Functional: PBE-GGA
Structure: optimized geometry

a b c (Å): 9.5594 9.5594 14.3916
angles (deg): 90.00 90.00 153.35
Atoms (fractional coordinates):
Ba1 0.0839 0.9161 0.5000
Ba2 0.1291 0.8709 0.1390
Ba3 0.8709 0.1291 0.6390
Ba4 0.9161 0.0839 0.0000
Na1 0.4549 0.5451 0.2882
Na2 0.5451 0.4549 0.7882
Pa1 0.2218 0.7782 0.8610
Pa2 0.7782 0.2218 0.3610
Se1 0.0822 0.9178 0.9039
Se2 0.2638 0.7362 0.4905
Se3 0.2940 0.7060 0.2379
Se4 0.3684 0.6316 0.8303
Se5 0.4943 0.5057 0.6071
Se6 0.5057 0.4943 0.1071
Se7 0.6316 0.3684 0.3303
Se8 0.7060 0.2940 0.7379
Se9 0.7362 0.2638 0.9905
Se10 0.9178 0.0822 0.4039

- formation energy (no corrections) (meV per atom) = -1620
- total magnetization (Bohr magnetons per cell) = 0.00
- symmetry = Cmc2_1



# 5
Compound: KTlReF6
Source: Alexandria via LeMat-Bulk
Functional: PBE-GGA
Structure: optimized geometry

a b c (Å): 6.5825 6.5825 9.4378
angles (deg): 90.00 90.00 120.00
Atoms (fractional coordinates):
K1 0.3333 0.6667 0.2500
K2 0.6667 0.3333 0.7500
Tl1 0.0000 0.0000 0.0000
Tl2 0.0000 0.0000 0.5000
Re1 0.3333 0.6667 0.7500
Re2 0.6667 0.3333 0.2500
F1 0.0791 0.4141 0.6351
F2 0.0791 0.6651 0.8649
F3 0.3349 0.4141 0.8649
F4 0.3349 0.9209 0.6351
F5 0.4141 0.0791 0.1351
F6 0.4141 0.3349 0.3649
F7 0.5859 0.6651 0.6351
F8 0.5859 0.9209 0.8649
F9 0.6651 0.0791 0.3649
F10 0.6651 0.5859 0.1351
F11 0.9209 0.3349 0.1351
F12 0.9209 0.5859 0.3649

- DOS at the Fermi energy (states/eV/f.u.) = 0.00
- formation energy (no corrections) (meV per atom) = -2249
- total magnetization (Bohr magnetons per cell) = 6.00
- symmetry = P-31c



# 6
Compound: MgNiTe2I
Source: Alexandria via LeMat-Bulk
Functional: PBE-GGA
Structure: optimized geometry

a b c (Å): 5.4827 5.4827 5.5704
angles (deg): 90.00 90.00 90.00
Atoms (fractional coordinates):
Mg1 0.0000 0.0000 0.0000
Ni1 0.5000 0.5000 0.5000
Te1 0.0000 0.5000 0.0000
Te2 0.5000 0.0000 0.0000
I1 0.0000 0.0000 0.5000

- energy above the lowest structure with this stoichiometry (meV per atom) = 530
- DOS at the Fermi energy (states/eV/f.u.) = 11.94
- formation energy (no corrections) (meV per atom) = 657
- total magnetization (Bohr magnetons per cell) = 1.67
- symmetry = P4/mmm



How do the records compare in energy? In the order shown, they have -4.694, -2.841, -6.232, -5.184, -5.264, -2.385 eV/atom.